Record 1
Ag6Te2SeCl after structural relaxation, computed with PBE.

## Properties
Crystal system   trigonal
Total magnetic moment   0.00 μB/cell
Formation energy (no corrections)   -0.082 eV/atom

```
Ag6Te2SeCl
1.0
6.920 0.001 0.000
3.460 5.992 0.001
3.460 1.999 5.725
Ag Te Se Cl
6 2 1 1
direct
0.706 0.213 0.169
0.213 0.911 0.169
0.911 0.706 0.169
0.425 0.621 0.829
0.621 0.125 0.829
0.126 0.425 0.828
0.536 0.536 0.393
0.076 0.076 0.773
0.264 0.264 0.207
0.783 0.784 0.650
```

***

Record 2
Ta2AgHg after structural relaxation, computed with PBE.

## Properties
Crystal system   orthorhombic
Total magnetic moment   0.00 μB/cell
Total energy   -6.3109 eV per atom

```
Ta2AgHg
1.0
6.394 0.010 0.037
-2.543 4.631 -0.042
1.309 0.742 2.492
Hg Ag Ta
1 1 2
direct
0.500 0.500 0.000
0.000 0.500 0.500
0.000 0.000 0.000
0.500 0.000 0.500
```

***

Record 3
GaMoPb3 after structural relaxation, computed with PBE.

## Properties
Crystal system   cubic
Total magnetic moment   0.00 μB/cell
Total energy   -4.4518 eV per atom

```
GaMoPb3
1.0
-5.016 2.055 -0.103
-2.019 -4.968 -0.795
-0.396 -0.697 5.362
Pb Mo Ga
3 1 1
direct
0.000 0.500 0.000
0.000 0.000 0.500
0.500 0.000 0.000
0.000 0.000 0.000
0.500 0.500 0.500
```

***

Record 4
KSrGeBr5 after structural relaxation, computed with PBE.

## Properties
Crystal system   monoclinic
Total magnetic moment   0.00 μB/cell
Formation energy (no corrections)   -1.416 eV/atom

```
KSrGeBr5
1.0
7.904 0.789 -0.481
-1.553 7.790 -0.481
-3.209 -4.334 10.501
K Sr Ge Br
2 2 2 10
direct
0.326 0.674 0.250
0.674 0.326 0.750
0.000 0.000 0.500
0.000 0.000 0.000
0.729 0.271 0.250
0.271 0.729 0.750
0.044 0.956 0.250
0.956 0.044 0.750
0.888 0.365 0.093
0.112 0.635 0.907
0.635 0.112 0.407
0.365 0.888 0.593
0.760 0.601 0.413
0.240 0.399 0.587
0.399 0.240 0.087
0.601 0.760 0.913
```

***

Record 5
SrMn2Se after structural relaxation, computed with PBE.

## Properties
Crystal system   orthorhombic
Total magnetic moment   8.90 μB/cell
Formation energy (no corrections)   0.136 eV/atom

```
SrMn2Se
1.0
-0.378 2.545 3.256
-5.943 -2.977 -1.008
-0.239 -3.283 2.537
Mn Se Sr
2 1 1
direct
0.000 0.000 0.000
0.500 0.000 0.500
0.000 0.500 0.500
0.500 0.500 0.000
```

***

Record 6
YSi2Os after structural relaxation, computed with PBE.

## Properties
Crystal system   cubic
Total magnetic moment   0.00 μB/cell
Formation energy (no corrections)   0.143 eV/atom

```
YSi2Os
1.0
4.590 0.000 0.000
2.295 3.975 0.000
2.295 1.325 3.748
Os Si Y
1 2 1
direct
0.500 0.500 0.500
0.000 0.000 0.000
0.250 0.250 0.250
0.750 0.750 0.750
```